No. 1
Compound: In2SbRu
Source: Alexandria via LeMat-Bulk
Functional: meta-GGA SCAN
Structure: PBEsol geometry

As for the density of states at the Fermi level: 5.592 states/eV per cell. The calculation puts the energy relative to the elements, uncorrected at 0.392 eV per atom. Its total energy is -274.587 eV/cell.

It has space group Cmmm (No. 65), with a = 5.6681 Å, b = 8.3940 Å, c = 3.3552 Å, α = 90.00°, β = 90.00° and γ = 90.00°. Symmetry generates all atoms from In at (0.2500, 0.2500, 0.0000), Sb at (0.0000, 0.0000, 0.5000) and Ru at (0.0000, 0.5000, 0.5000).


No. 2
Compound: InSbRu
Source: Alexandria via LeMat-Bulk
Functional: meta-GGA SCAN
Structure: PBEsol geometry

As for the density of states at the Fermi level: 11.305 states/eV per cell. The calculation puts the energy relative to the elements, uncorrected at -0.032 eV per atom. Its total energy is -422.273 eV/cell.

It has space group F-43m (No. 216), with a = 6.3035 Å, b = 6.3035 Å, c = 6.3035 Å, α = 90.00°, β = 90.00° and γ = 90.00°. Symmetry generates all atoms from In at (0.0000, 0.0000, 0.0000), Sb at (0.0000, 0.0000, 0.5000) and Ru at (0.2500, 0.2500, 0.7500).


No. 3
Compound: In2SbRu
Source: Alexandria via LeMat-Bulk
Functional: meta-GGA SCAN
Structure: PBEsol geometry

As for the density of states at the Fermi level: 4.038 states/eV per cell. The calculation puts the energy relative to the elements, uncorrected at -0.022 eV per atom. Its total energy is -277.898 eV/cell.

It has space group Cm (No. 8), with a = 9.6421 Å, b = 3.1536 Å, c = 6.5501 Å, α = 90.00°, β = 112.49° and γ = 90.00°. Symmetry generates all atoms from In at (0.0000, 0.0000, 0.0000), In at (0.1755, 0.0000, 0.6563), Sb at (0.3334, 0.5000, 0.2930) and Ru at (0.4434, 0.0000, 0.6365).